TmTcGe | PBE-GGA | optimized geometry

The structure in extended XYZ format:
```
3
Lattice="3.6204 0.0000 0.0000 0.0000 4.3164 0.0000 0.0000 -2.1582 3.7381" Properties=species:S:1:pos:R:3 pbc="T T T"
Ge 0.6030 0.0000 0.0000
Tm 2.4138 2.1582 1.2460
Tc 0.6036 0.0000 2.4921
```

Formation energy ... -0.364 eV per atom
Energy above the lowest structure with this stoichiometry ... 0.58 eV per formula unit
Space group ... P-6m2 (187)



TiReMoRh | PBE-GGA | optimized geometry

The structure in extended XYZ format:
```
4
Lattice="4.4127 0.0000 0.0000 2.2063 3.8215 0.0000 2.2063 1.2738 3.6029" Properties=species:S:1:pos:R:3 pbc="T T T"
Mo 0.0000 0.0000 0.0000
Re 6.6190 3.8215 2.7022
Ti 2.2063 1.2738 0.9007
Rh 4.4127 2.5477 1.8015
```

Formation energy ... -0.159 eV per atom
Space group ... F-43m (216)



Na2MgAl3Zn12 | PBE-GGA | optimized geometry

The structure in extended XYZ format:
```
18
Lattice="-2.1245 1.9366 -6.2489 6.2805 0.0182 -2.8049 -0.4303 -6.3899 -2.5092" Properties=species:S:1:pos:R:3 pbc="T T T"
Al -1.0623 0.9683 -3.1245
Zn 2.3867 0.3392 -5.6357
Zn -0.3116 0.0726 -5.4997
Na 2.6543 -3.1598 -8.2379
Zn 3.1842 -0.3150 -7.9463
Zn 4.0373 -4.5078 -6.0633
Mg 0.0000 0.0000 0.0000
Al 3.1403 0.0091 -1.4024
Zn -0.7055 -2.6135 -5.4994
Zn 3.9207 -0.8934 -3.7655
Zn 0.5415 -4.1202 -3.6166
Zn 4.4312 -1.8217 -6.0636
Zn 0.5584 -0.9378 -7.6505
Zn 1.3390 -4.7744 -5.9273
Zn 3.1673 -3.4975 -3.9125
Zn -0.1950 -3.5418 -7.7975
Al -0.2151 -3.1950 -1.2546
Na 1.0714 -1.2754 -3.3251
```

Formation energy ... 0.099 eV per atom
Space group ... R-3m (166)



Cr2CuTe | PBE-GGA | optimized geometry

The structure in extended XYZ format:
```
4
Lattice="5.2663 -0.1856 0.1016 3.9506 3.4872 0.1016 1.3376 0.4792 3.5446" Properties=species:S:1:pos:R:3 pbc="T T T"
Cr 2.6650 0.9546 0.9243
Te 7.8913 2.8268 2.8204
Cr 9.2152 3.3010 0.2044
Cu 5.2772 1.8903 1.8757
```

Space group ... Imm2 (44)
Uncorrected formation energy ... 503 meV/atom



Sm8Bi2Rh | PBE-GGA | optimized geometry

The structure in extended XYZ format:
```
11
Lattice="4.7945 0.0000 0.0000 0.0000 7.4074 0.6437 -2.3973 -2.2223 9.4414" Properties=species:S:1:pos:R:3 pbc="T T T"
Bi 0.0000 4.9540 3.9610
Sm 0.0000 1.6238 4.2745
Sm 0.0000 5.5365 7.4059
Bi 2.3973 0.2311 6.1241
Sm 0.0000 5.7255 0.5620
Sm 2.3973 -0.3514 2.6792
Sm 2.3973 3.3725 2.1077
Sm 2.3973 3.5613 5.8107
Sm 2.3973 -0.5403 9.5232
Rh 2.3973 0.0000 0.0000
Sm 0.0000 1.8126 7.9775
```

Formation energy ... -0.429 eV per atom
Space group ... C2/m (12)



MgBi2Te | PBE-GGA | optimized geometry

The structure in extended XYZ format:
```
4
Lattice="-0.6049 1.0243 5.3547 -1.3391 5.0425 1.6937 -4.9907 0.9658 2.0610" Properties=species:S:1:pos:R:3 pbc="T T T"
Mg 0.0000 0.0000 0.0000
Bi -5.2010 5.2744 6.8321
Bi -1.7337 1.7581 2.2774
Te -3.4674 3.5163 4.5547
```

Energy above the lowest structure with this stoichiometry ... 0.00 eV per formula unit
Space group ... Fm-3m (225)
Uncorrected formation energy ... 119 meV/atom



Be2CrFe5Mo2 | PBE-GGA | optimized geometry

The structure in extended XYZ format:
```
20
Lattice="2.8333 0.0000 0.0000 0.0000 8.7473 0.0000 0.0000 0.0000 8.7473" Properties=species:S:1:pos:R:3 pbc="T T T"
Be 0.0000 3.2982 1.0755
Fe 1.4167 2.5817 4.9267
Mo 0.0000 5.9100 1.5364
Mo 0.0000 2.8373 7.2109
Be 0.0000 5.4491 7.6718
Fe 1.4167 4.9267 6.1656
Be 0.0000 1.0755 5.4491
Fe 1.4167 4.3737 0.0000
Mo 0.0000 7.2109 5.9100
Fe 1.4167 8.1943 1.7920
Fe 1.4167 6.1656 3.8206
Cr 0.0000 0.0000 0.0000
Fe 1.4167 1.7920 0.5530
Be 0.0000 7.6718 3.2982
Fe 1.4167 3.8206 2.5817
Fe 1.4167 6.9553 8.1943
Fe 1.4167 0.0000 4.3737
Mo 0.0000 1.5364 2.8373
Cr 0.0000 4.3737 4.3737
Fe 1.4167 0.5530 6.9553
```

Formation energy ... -0.008 eV per atom
Space group ... P4/mbm (127)



Cs2BaAu2 | PBE-GGA | optimized geometry

The structure in extended XYZ format:
```
10
Lattice="10.0729 0.0000 0.0000 0.0000 10.0729 0.0000 0.0000 0.0000 4.0783" Properties=species:S:1:pos:R:3 pbc="T T T"
Ba 0.0000 0.0000 0.0000
Cs 6.3248 1.2884 0.0000
Au 3.2472 1.7892 2.0391
Cs 3.7480 8.7845 0.0000
Ba 5.0364 5.0364 0.0000
Au 8.2836 3.2472 2.0391
Au 1.7892 6.8257 2.0391
Cs 1.2884 3.7480 0.0000
Cs 8.7845 6.3248 0.0000
Au 6.8257 8.2836 2.0391
```

Formation energy ... -0.129 eV per atom
Energy above the lowest structure with this stoichiometry ... 0.78 eV per formula unit
Space group ... P4/mbm (127)